LiSb2Cl | PBE | optimized geometry

The calculation puts the density of states at the Fermi level at 1.31 states/eV/cell. As for the space group: Cmmm, No. 65. The uncorrected formation energy is -0.164 eV per atom. For the uncorrected energy, the calculation gives -3.1652 eV per atom. The value obtained for the total magnetization is 0.00 μB/f.u.

Lattice parameters (Å, degrees): 6.5042 6.5042 3.2436 90.00 90.00 128.60
With the nearest neighbours (Å) after each atom.
Element x y z (fractional)
Li  0.0000  0.0000  0.0000  2 Cl 2.82
Sb  0.0000  0.5000  0.5000  2 Sb 2.82
Sb  0.5000  0.0000  0.5000  2 Sb 2.82
Cl  0.5000  0.5000  0.0000  2 Li 2.82



CrFe2Ag | PBE | optimized geometry

The calculation puts the density of states at the Fermi level at 4.19 states/eV/cell. As for the space group: R3m, No. 160. Its formation energy is 8.84 kcal/mol of atoms. For the uncorrected energy, the calculation gives -6.9667 eV per atom. The value obtained for the total magnetization is 3.12 μB/f.u.

Lattice parameters (Å, degrees): 8.8280 8.8280 8.8280 17.32 17.32 17.32
With the nearest neighbours (Å) after each atom.
Element x y z (fractional)
Cr  0.0000  0.0000  0.0000  3 Fe 2.42, 6 Cr 2.66
Fe  0.2618  0.2618  0.2618  3 Cr 2.42, 9 Fe 2.54-2.66
Fe  0.5174  0.5174  0.5174  9 Fe 2.54-2.66, 3 Ag 2.82
Ag  0.7601  0.7601  0.7601  6 Ag 2.66, 3 Fe 2.82, 3 Cr 2.88



NdSnSb2 | PBE | optimized geometry

The calculation puts the density of states at the Fermi level at 2.50 states/eV/cell. As for the space group: R3m, No. 160. The uncorrected formation energy is -0.370 eV per atom. For the uncorrected energy, the calculation gives -4.6241 eV per atom. The value obtained for the total magnetization is 0.00 μB/f.u.

Lattice parameters (Å, degrees): 7.8601 7.8601 7.8601 33.55 33.55 33.55
With the nearest neighbours (Å) after each atom.
Element x y z (fractional)
Nd  0.0000  0.0000  0.0000  6 Sb 3.17-3.21
Sn  0.8306  0.8306  0.8306  6 Sb 3.17-3.28
Sb  0.4169  0.4169  0.4169  3 Sn 3.17, 3 Nd 3.21
Sb  0.5863  0.5863  0.5863  3 Nd 3.17, 3 Sn 3.28



Th2NbAs3Rh4 | PBE | optimized geometry

The calculation puts the density of states at the Fermi level at 5.05 states/eV/cell. As for the space group: P-4m2, No. 115. Its formation energy is -20.28 kcal/mol of atoms. For the uncorrected energy, the calculation gives -7.7058 eV per atom. The value obtained for the total magnetization is 0.00 μB/f.u.

Lattice parameters (Å, degrees): 4.1990 4.1990 10.6782 90.00 90.00 90.00
With the nearest neighbours (Å) after each atom.
Element x y z (fractional)
Th  0.0000  0.5000  0.2359  6 As 3.16-3.52, 8 Rh 3.27-3.28, 2 Nb 3.52
Th  0.5000  0.0000  0.7641  6 As 3.16-3.52, 8 Rh 3.27-3.28, 2 Nb 3.52
Nb  0.0000  0.0000  0.5000  4 Rh 2.55
As  0.0000  0.5000  0.8654  5 Rh 2.45-2.54
As  0.5000  0.0000  0.1346  5 Rh 2.45-2.54
As  0.5000  0.5000  0.5000  4 Rh 2.55
Rh  0.0000  0.0000  0.0000  4 As 2.54
Rh  0.0000  0.5000  0.6359  3 As 2.45-2.55, 2 Nb 2.55
Rh  0.5000  0.0000  0.3641  3 As 2.45-2.55, 2 Nb 2.55
Rh  0.5000  0.5000  0.0000  4 As 2.54



Please write out number 3 again, unchanged.
NdSnSb2 | PBE | optimized geometry

The calculation puts the density of states at the Fermi level at 2.50 states/eV/cell. As for the space group: R3m, No. 160. The uncorrected formation energy is -0.370 eV per atom. For the uncorrected energy, the calculation gives -4.6241 eV per atom. The value obtained for the total magnetization is 0.00 μB/f.u.

Lattice parameters (Å, degrees): 7.8601 7.8601 7.8601 33.55 33.55 33.55
With the nearest neighbours (Å) after each atom.
Element x y z (fractional)
Nd  0.0000  0.0000  0.0000  6 Sb 3.17-3.21
Sn  0.8306  0.8306  0.8306  6 Sb 3.17-3.28
Sb  0.4169  0.4169  0.4169  3 Sn 3.17, 3 Nd 3.21
Sb  0.5863  0.5863  0.5863  3 Nd 3.17, 3 Sn 3.28